Compound: ZrTlCd2
Source: the Alexandria database
Functional: GGA-PBE
Structure: relaxed

Calculated values
As for the offset from the most stable computed form: 33 kJ/mol of formula units. The value obtained for the density of states at the Fermi level is 2.9 states/eV/f.u. The space group is No. 10. As for the raw total energy: -3.19 eV per atom. The total magnetization comes out at 0.00 μB per formula unit.

Unit cell a=3.156 b=5.447 c=6.393 alpha=57.01 beta=90.00 gamma=90.00
Sites, in units of the cell vectors:
Cd1 0.000 0.000 0.000
Zr1 0.000 0.000 0.500
Cd2 0.500 0.500 0.000
Tl1 0.500 0.500 0.500

***

Compound: Zr2TlCd2
Source: the Alexandria database
Functional: GGA-PBE
Structure: relaxed

Calculated values
As for the offset from the most stable computed form: 5 kJ/mol of formula units. The value obtained for the density of states at the Fermi level is 2.7 states/eV/f.u. The space group is No. 12. As for the raw total energy: -4.29 eV per atom. The total magnetization comes out at 0.00 μB per formula unit.

Unit cell a=3.286 b=6.503 c=8.546 alpha=57.45 beta=67.38 gamma=104.63
Sites, in units of the cell vectors:
Tl1 0.000 0.500 0.000
Cd1 0.790 0.896 0.407
Zr1 0.596 0.290 0.799
Cd2 0.210 0.104 0.593
Zr2 0.404 0.710 0.201

***

Compound: ZrTlCd2
Source: the Alexandria database
Functional: GGA-PBE
Structure: relaxed

Calculated values
As for the offset from the most stable computed form: 37 kJ/mol of formula units. The value obtained for the density of states at the Fermi level is 2.9 states/eV/f.u. The space group is No. 123. As for the raw total energy: -3.19 eV per atom. The total magnetization comes out at 0.00 μB per formula unit.

Unit cell a=3.250 b=3.250 c=9.030 alpha=90.00 beta=90.00 gamma=89.98
Sites, in units of the cell vectors:
Tl1 0.500 0.500 0.250
Cd1 0.000 0.000 0.517
Zr1 0.500 0.500 0.750
Cd2 0.000 0.000 0.983

***

Compound: ZrTl2Cd
Source: the Alexandria database
Functional: GGA-PBE
Structure: relaxed

Calculated values
As for the offset from the most stable computed form: 94 kJ/mol of formula units. The value obtained for the density of states at the Fermi level is 1.2 states/eV/f.u. The space group is No. 122. As for the raw total energy: -3.31 eV per atom. The total magnetization comes out at 0.00 μB per formula unit.

Unit cell a=8.012 b=8.012 c=6.498 alpha=51.94 beta=51.94 gamma=90.00
Sites, in units of the cell vectors:
Tl1 0.115 0.625 0.250
Zr1 0.500 0.500 0.000
Tl2 0.635 0.125 0.250
Tl3 0.375 0.365 0.750
Cd1 0.750 0.250 0.500
Cd2 0.000 0.000 0.000
Tl4 0.875 0.885 0.750
Zr2 0.250 0.750 0.500

***

no.,energy of formation from the pure elements (kcal/mol of atoms)
1,-0.19
2,-0.81
3,0.01
4,5.50